Entry 1:
! PrNd3Pt2 (GGA-PBE, relaxed); values from VASP
&SYSTEM
  ibrav = 0, nat = 12, ntyp = 3
/
ATOMIC_SPECIES
Nd 144.24 Nd.upf
Pt 195.08 Pt.upf
Pr 140.91 Pr.upf
CELL_PARAMETERS angstrom
7.007 0.000 0.000
-3.503 6.285 -1.986
0.000 -0.009 7.993
ATOMIC_POSITIONS crystal
Nd 0.258 0.000 0.750
Nd 0.742 0.000 0.250
Nd 0.216 0.431 0.108
Nd 0.784 0.569 0.892
Nd 0.785 0.569 0.392
Nd 0.215 0.431 0.608
Pt 0.623 0.246 0.062
Pt 0.377 0.754 0.438
Pt 0.623 0.246 0.562
Pt 0.377 0.754 0.938
Pr 0.252 0.000 0.250
Pr 0.748 0.000 0.750
! DFT formation energy (eV/atom): -0.7354
! E above lowest polymorph (kJ per mole of atoms): 0.0
! SG: No. 15

Entry 2:
! Pr3Nd2Pt2 (GGA-PBE, relaxed); values from VASP
&SYSTEM
  ibrav = 0, nat = 7, ntyp = 3
/
ATOMIC_SPECIES
Pt 195.08 Pt.upf
Pr 140.91 Pr.upf
Nd 144.24 Nd.upf
CELL_PARAMETERS angstrom
3.932 0.000 0.000
-1.966 6.301 -0.395
0.000 -3.385 8.704
ATOMIC_POSITIONS crystal
Pt 0.171 0.343 0.234
Pt 0.829 0.657 0.766
Pr 0.615 0.230 0.433
Pr 0.500 0.000 0.000
Pr 0.385 0.770 0.567
Nd 0.165 0.330 0.812
Nd 0.835 0.670 0.188
! DFT formation energy (eV/atom): -0.6673
! SG: No. 12

Entry 3:
! Pr2NdPt (GGA-PBE, relaxed); values from VASP
&SYSTEM
  ibrav = 0, nat = 16, ntyp = 3
/
ATOMIC_SPECIES
Pr 140.91 Pr.upf
Nd 144.24 Nd.upf
Pt 195.08 Pt.upf
CELL_PARAMETERS angstrom
-3.772 -5.442 -1.028
5.951 -3.762 -1.919
1.367 -2.777 9.680
ATOMIC_POSITIONS crystal
Pr 0.328 0.179 0.438
Pr 0.828 0.321 0.938
Pr 0.172 0.679 0.438
Pr 0.672 0.821 0.938
Pr 0.672 0.821 0.562
Pr 0.328 0.179 0.062
Pr 0.828 0.321 0.562
Pr 0.172 0.679 0.062
Nd 0.857 0.028 0.250
Nd 0.143 0.972 0.750
Nd 0.643 0.528 0.250
Nd 0.357 0.472 0.750
Pt 0.937 0.618 0.750
Pt 0.563 0.118 0.750
Pt 0.063 0.382 0.250
Pt 0.437 0.882 0.250
! DFT formation energy (eV/atom): -0.6087
! E above lowest polymorph (kJ per mole of atoms): 0.0
! SG: No. 62

Entry 4:
! Pr3Nd4Pt4 (GGA-PBE, relaxed); values from VASP
&SYSTEM
  ibrav = 0, nat = 11, ntyp = 3
/
ATOMIC_SPECIES
Pr 140.91 Pr.upf
Nd 144.24 Nd.upf
Pt 195.08 Pt.upf
CELL_PARAMETERS angstrom
4.768 0.000 0.000
0.000 7.900 0.000
-2.384 -3.950 8.048
ATOMIC_POSITIONS crystal
Pr 0.000 0.500 0.000
Pr 0.902 0.902 0.804
Pr 0.098 0.098 0.196
Nd 0.669 0.886 0.338
Nd 0.669 0.453 0.338
Nd 0.331 0.114 0.662
Nd 0.331 0.547 0.662
Pt 0.204 0.704 0.409
Pt 0.796 0.296 0.591
Pt 0.500 0.817 0.000
Pt 0.500 0.183 0.000
! DFT formation energy (eV/atom): -0.7721
! SG: No. 71

Entry 5:
! Pr3NdPt (GGA-PBE, relaxed); values from VASP
&SYSTEM
  ibrav = 0, nat = 10, ntyp = 3
/
ATOMIC_SPECIES
Pr 140.91 Pr.upf
Pt 195.08 Pt.upf
Nd 144.24 Nd.upf
CELL_PARAMETERS angstrom
-5.916 1.588 1.645
0.438 -4.120 5.555
2.845 6.127 4.316
ATOMIC_POSITIONS crystal
Pr 0.425 0.873 0.954
Pr 0.424 0.873 0.448
Pr 0.925 0.480 0.948
Pr 0.417 0.330 0.201
Pr 0.924 0.480 0.454
Pr 0.917 0.023 0.701
Pt 0.181 0.675 0.701
Pt 0.681 0.678 0.201
Nd 0.932 0.029 0.201
Nd 0.431 0.323 0.701
! DFT formation energy (eV/atom): -0.3361
! E above lowest polymorph (kJ per mole of atoms): 12.0
! SG: No. 31

Entry 6:
! Pr3NdPt3 (GGA-PBE, relaxed); values from VASP
&SYSTEM
  ibrav = 0, nat = 14, ntyp = 3
/
ATOMIC_SPECIES
Pt 195.08 Pt.upf
Pr 140.91 Pr.upf
Nd 144.24 Nd.upf
CELL_PARAMETERS angstrom
-2.576 2.284 -6.370
-6.151 0.586 3.775
1.831 6.908 1.801
ATOMIC_POSITIONS crystal
Pt 0.981 0.503 0.718
Pt 0.497 0.019 0.282
Pt 0.939 0.939 0.192
Pt 0.019 0.497 0.282
Pt 0.503 0.981 0.718
Pt 0.061 0.061 0.808
Pr 0.335 0.335 0.625
Pr 0.753 0.247 0.000
Pr 0.247 0.753 0.000
Pr 0.823 0.177 0.500
Pr 0.665 0.665 0.375
Pr 0.177 0.823 0.500
Nd 0.256 0.256 0.121
Nd 0.744 0.744 0.879
! DFT formation energy (eV/atom): -0.8700
! SG: No. 12

- Look up the DFT formation energy of the fifth one.
  -0.3361 eV/atom

- Look up the DFT formation energy of the first one.
  -0.7354 eV/atom

Please write out number 5 again, unchanged.
! Pr3NdPt (GGA-PBE, relaxed); values from VASP
&SYSTEM
  ibrav = 0, nat = 10, ntyp = 3
/
ATOMIC_SPECIES
Pr 140.91 Pr.upf
Pt 195.08 Pt.upf
Nd 144.24 Nd.upf
CELL_PARAMETERS angstrom
-5.916 1.588 1.645
0.438 -4.120 5.555
2.845 6.127 4.316
ATOMIC_POSITIONS crystal
Pr 0.425 0.873 0.954
Pr 0.424 0.873 0.448
Pr 0.925 0.480 0.948
Pr 0.417 0.330 0.201
Pr 0.924 0.480 0.454
Pr 0.917 0.023 0.701
Pt 0.181 0.675 0.701
Pt 0.681 0.678 0.201
Nd 0.932 0.029 0.201
Nd 0.431 0.323 0.701
! DFT formation energy (eV/atom): -0.3361
! E above lowest polymorph (kJ per mole of atoms): 12.0
! SG: No. 31